Entry 1:
Density functional theory data (GGA+U) for Ba3ThFe2O9 after structural relaxation.

The symmetry is P-3m1. The value obtained for the total magnetic moment is 0.531 μB per atom. For the total energy, the calculation gives -6.935 eV per atom.

a b c (Å): 5.8955 5.8955 7.3600
angles (deg): 90.00 90.00 120.00
With the nearest neighbours (Å) after each atom.
Atoms (fractional coordinates):
Ba 0.0000 0.0000 0.0000  12 O 2.93-2.95
Ba 0.3333 0.6667 0.6958  9 O 2.81-2.95
Ba 0.6667 0.3333 0.3042  9 O 2.81-2.95
Th 0.0000 0.0000 0.5000  6 O 2.26
Fe 0.3333 0.6667 0.1585  6 O 1.98-2.06
Fe 0.6667 0.3333 0.8415  6 O 1.98-2.06
O 0.0000 0.5000 0.0000  2 Fe 2.06
O 0.1760 0.3520 0.3147  1 Fe 1.98
O 0.1760 0.8240 0.3147  1 Fe 1.98
O 0.3520 0.1760 0.6853  1 Fe 1.98
O 0.5000 0.0000 0.0000  2 Fe 2.06
O 0.5000 0.5000 0.0000  2 Fe 2.06
O 0.6480 0.8240 0.3147  1 Fe 1.98
O 0.8240 0.1760 0.6853  1 Fe 1.98
O 0.8240 0.6480 0.6853  1 Fe 1.98

Entry 2:
Density functional theory data (GGA+U) for BaTi2Fe2O7 after structural relaxation.

The symmetry is Imm2. The value obtained for the total magnetic moment is 0.659 μB per atom. For the total energy, the calculation gives -7.796 eV per atom.

a b c (Å): 8.8485 8.8485 8.8485
angles (deg): 154.39 41.08 148.43
With the nearest neighbours (Å) after each atom.
Atoms (fractional coordinates):
Ba 0.0000 0.0000 0.0000  8 O 2.76-2.85
Ti 0.3870 0.0001 0.3869  4 O 1.79-1.99
Ti 0.6132 0.0001 0.6131  4 O 1.79-1.99
Fe 0.3050 0.5640 0.7411  4 O 2.03-2.24
Fe 0.8229 0.5640 0.2589  4 O 2.03-2.24
O 0.0160 0.6290 0.3870  1 Ti 1.79
O 0.2420 0.6290 0.6130  1 Ti 1.79
O 0.3698 0.1002 0.2696  1 Ti 2.00, 3 Fe 2.03-2.24
O 0.4512 0.5694 0.8818  2 Ti 1.99
O 0.5961 0.0961 0.5000  2 Ti 1.93
O 0.6876 0.5694 0.1182  2 Ti 1.99
O 0.8306 0.1002 0.7304  1 Ti 2.00, 3 Fe 2.03-2.24

Entry 3:
Density functional theory data (GGA+U) for BaTlFeO4 after structural relaxation.

The symmetry is P2_1/m. The value obtained for the total magnetic moment is 0.713 μB per atom. For the total energy, the calculation gives -5.742 eV per atom.

a b c (Å): 5.9732 6.3760 7.2154
angles (deg): 90.00 114.10 90.00
With the nearest neighbours (Å) after each atom.
Atoms (fractional coordinates):
Ba 0.2231 0.2500 0.4745  6 O 2.69-2.80
Ba 0.7769 0.7500 0.5255  6 O 2.69-2.80
Tl 0.4246 0.2500 0.0689  4 O 2.15-2.25
Tl 0.5754 0.7500 0.9311  4 O 2.15-2.25
Fe 0.1950 0.7500 0.1353  4 O 1.91-1.92
Fe 0.8050 0.2500 0.8647  4 O 1.91-1.92
O 0.0850 0.2500 0.8010  1 Fe 1.91
O 0.1910 0.7500 0.8692  1 Fe 1.91
O 0.3946 0.5125 0.2650  1 Fe 1.92
O 0.3946 0.9875 0.2650  1 Fe 1.92
O 0.6054 0.0125 0.7350  1 Fe 1.92
O 0.6054 0.4875 0.7350  1 Fe 1.92
O 0.8090 0.2500 0.1308  1 Fe 1.91
O 0.9150 0.7500 0.1990  1 Fe 1.91

Entry 4:
Density functional theory data (GGA+U) for BaTl2FeO after structural relaxation.

The symmetry is P4/mmm. The value obtained for the total magnetic moment is 0.617 μB per atom. For the total energy, the calculation gives -3.485 eV per atom.

a b c (Å): 5.3161 5.3161 5.0670
angles (deg): 90.00 90.00 90.00
With the nearest neighbours (Å) after each atom.
Atoms (fractional coordinates):
Ba 0.0000 0.0000 0.0000  2 O 2.53
Tl 0.0000 0.5000 0.5000  2 O 2.66
Tl 0.5000 0.0000 0.5000  2 O 2.66
Fe 0.5000 0.5000 0.0000  8 Tl 3.67, 4 Ba 3.76
O 0.0000 0.0000 0.5000  2 Ba 2.53, 4 Tl 2.66

Entry 5:
Density functional theory data (GGA+U) for Ba2TlFeO6 after structural relaxation.

The symmetry is P4/mmm. The value obtained for the total magnetic moment is 0.437 μB per atom. For the total energy, the calculation gives -5.714 eV per atom.

a b c (Å): 4.2034 4.2034 8.4691
angles (deg): 90.00 90.00 90.00
With the nearest neighbours (Å) after each atom.
Atoms (fractional coordinates):
Ba 0.0000 0.0000 0.2363  12 O 2.90-3.07
Ba 0.0000 0.0000 0.7637  12 O 2.90-3.07
Tl 0.5000 0.5000 0.5000  4 O 2.10
Fe 0.5000 0.5000 0.0000  2 O 1.86
O 0.0000 0.5000 0.0000  2 Fe 2.10
O 0.0000 0.5000 0.5000  2 Tl 2.10
O 0.5000 0.0000 0.0000  2 Fe 2.10
O 0.5000 0.0000 0.5000  2 Tl 2.10
O 0.5000 0.5000 0.2197  1 Fe 1.86
O 0.5000 0.5000 0.7803  1 Fe 1.86

Entry 6:
Density functional theory data (GGA+U) for Ba2Tl2Zn2Fe3O10 after structural relaxation.

The symmetry is P1. The value obtained for the total magnetic moment is 0.606 μB per atom. For the total energy, the calculation gives -5.442 eV per atom.

a b c (Å): 3.9740 4.0175 17.8145
angles (deg): 93.83 93.93 90.24
With the nearest neighbours (Å) after each atom.
Atoms (fractional coordinates):
Ba 0.0000 0.0000 0.0000  9 O 2.81-2.96
Ba 0.3665 0.3724 0.5633  9 O 2.80-2.97
Tl 0.4522 0.5087 0.8453  2 O 2.13-2.19
Tl 0.9129 0.9709 0.7179  2 O 2.13-2.19
Zn 0.0924 0.1697 0.1920  2 O 1.96-2.01
Zn 0.1847 0.2682 0.3702  2 O 1.95-2.00
Fe 0.5418 0.5525 0.1192  4 O 1.98-2.04
Fe 0.5428 0.8147 0.2818  4 O 1.95-2.09
Fe 0.8110 0.8294 0.4452  4 O 1.96-2.03
O 0.0268 0.8749 0.2733  2 Fe 1.95-2.06, 1 Zn 1.96
O 0.0369 0.5139 0.1152  2 Fe 1.98-2.01, 1 Zn 2.01
O 0.3172 0.8499 0.4436  2 Fe 1.96-2.02
O 0.4172 0.3020 0.7283  3 Tl 2.19-2.39
O 0.4857 0.3334 0.2901  1 Zn 1.95, 2 Fe 1.96-2.09
O 0.4895 0.4790 0.9647  1 Tl 2.13
O 0.5263 0.0455 0.1212  2 Fe 1.98-2.04
O 0.8488 0.3355 0.4484  2 Fe 1.99-2.03, 1 Zn 2.00
O 0.8758 0.8715 0.5985  1 Tl 2.13
O 0.9500 0.8336 0.8350  3 Tl 2.19-2.39

Entry 7:
Density functional theory data (GGA+U) for Ba3TmFe2O8 after structural relaxation.

The symmetry is P-3m1. The value obtained for the total magnetic moment is 0.643 μB per atom. For the total energy, the calculation gives -6.696 eV per atom.

a b c (Å): 5.9964 5.9964 7.6072
angles (deg): 90.00 90.00 120.00
With the nearest neighbours (Å) after each atom.
Atoms (fractional coordinates):
Ba 0.0000 0.0000 0.0000  6 O 3.01
Ba 0.3333 0.6667 0.6557  1 O 2.47
Ba 0.6667 0.3333 0.3443  1 O 2.47
Tm 0.0000 0.0000 0.5000  6 O 2.21
Fe 0.3333 0.6667 0.2173  4 O 1.80-1.89
Fe 0.6667 0.3333 0.7827  4 O 1.80-1.89
O 0.1682 0.3364 0.3221  1 Fe 1.89
O 0.1682 0.8318 0.3221  1 Fe 1.89
O 0.3333 0.6667 0.9807  1 Fe 1.80
O 0.3364 0.1682 0.6779  1 Fe 1.89
O 0.6636 0.8318 0.3221  1 Fe 1.89
O 0.6667 0.3333 0.0193  1 Fe 1.80
O 0.8318 0.1682 0.6779  1 Fe 1.89
O 0.8318 0.6636 0.6779  1 Fe 1.89

Entry 8:
Density functional theory data (GGA+U) for Ba3TmFe2O9 after structural relaxation.

The symmetry is P-3m1. The value obtained for the total magnetic moment is 0.536 μB per atom. For the total energy, the calculation gives -6.585 eV per atom.

a b c (Å): 5.8345 5.8345 7.1399
angles (deg): 90.00 90.00 120.00
With the nearest neighbours (Å) after each atom.
Atoms (fractional coordinates):
Ba 0.0000 0.0000 0.0000  12 O 2.89-2.92
Ba 0.3333 0.6667 0.6754  12 O 2.87-3.00
Ba 0.6667 0.3333 0.3246  12 O 2.87-3.00
Tm 0.0000 0.0000 0.5000  6 O 2.19
Fe 0.3333 0.6667 0.1650  6 O 1.94-2.06
Fe 0.6667 0.3333 0.8350  6 O 1.94-2.06
O 0.0000 0.5000 0.0000  2 Fe 2.06
O 0.1754 0.3508 0.3193  1 Fe 1.94
O 0.1754 0.8246 0.3193  1 Fe 1.94
O 0.3508 0.1754 0.6807  1 Fe 1.94
O 0.5000 0.0000 0.0000  2 Fe 2.06
O 0.5000 0.5000 0.0000  2 Fe 2.06
O 0.6492 0.8246 0.3193  1 Fe 1.94
O 0.8246 0.1754 0.6807  1 Fe 1.94
O 0.8246 0.6492 0.6807  1 Fe 1.94